(1)
VASP calculation (PBE) on crystalline Pm4Ho5Tm2 at its relaxed geometry.

Calculated values
- E_form: 226 meV/atom
- Raw total energy: -4.40 eV per atom

```
Pm4Ho5Tm2
1.0
3.4965 0.0000 0.0000
0.0000 8.8634 0.2615
-1.7482 -2.2389 11.6983
Pm Ho Tm
4 5 2
direct
0.6296 0.5336 0.2591
0.0267 0.6905 0.0534
0.3704 0.4664 0.7409
0.9733 0.3095 0.9466
0.1788 0.8998 0.3576
0.8212 0.1002 0.6424
0.2316 0.3265 0.4633
0.5000 0.0000 0.0000
0.7684 0.6735 0.5367
0.8982 0.8057 0.7965
0.1018 0.1943 0.2035
```

(2)
VASP calculation (PBE) on crystalline Pm3Ho2Tm at its relaxed geometry.

Calculated values
- E_form: 8 meV/atom
- Raw total energy: -4.64 eV per atom

```
Pm3Ho2Tm
1.0
7.2118 0.0000 0.0000
0.0000 6.2531 -0.2139
-3.6059 -1.7945 8.7247
Pm Ho Tm
6 4 2
direct
0.8728 0.2500 0.0000
0.1272 0.7500 0.0000
0.0418 0.0258 0.3345
0.7072 0.4742 0.6655
0.2928 0.5258 0.3345
0.9582 0.9742 0.6655
0.7896 0.5289 0.3315
0.5419 0.0289 0.3315
0.4581 0.9711 0.6685
0.2104 0.4711 0.6685
0.6222 0.7500 0.0000
0.3778 0.2500 0.0000
```

(3)
VASP calculation (PBE) on crystalline Pm12Ho5Tm2 at its relaxed geometry.

Calculated values
- E_form: 119 meV/atom
- Raw total energy: -4.56 eV per atom

```
Pm12Ho5Tm2
1.0
9.2436 0.0000 0.0000
-4.6218 7.9113 -0.5479
0.0000 0.2989 8.6929
Pm Ho Tm
12 5 2
direct
0.9179 0.8358 0.1171
0.0306 0.6973 0.7630
0.6666 0.6973 0.7630
0.1753 0.7430 0.3219
0.5677 0.7430 0.3219
0.4396 0.8793 0.6581
0.5604 0.1207 0.3419
0.8247 0.2570 0.6781
0.4323 0.2570 0.6781
0.9694 0.3027 0.2370
0.3334 0.3027 0.2370
0.0821 0.1642 0.8829
0.2312 0.4623 0.5678
0.2981 0.5962 0.9735
0.0000 0.0000 0.5000
0.7019 0.4038 0.0265
0.7688 0.5377 0.4322
0.6711 0.0000 0.0000
0.3289 0.0000 0.0000
```

(4)
VASP calculation (PBE) on crystalline PmHo14Tm at its relaxed geometry.

Calculated values
- E_form: 5 meV/atom
- Raw total energy: -4.58 eV per atom

```
PmHo14Tm
1.0
7.0390 -0.8523 0.0000
-2.7819 6.5219 0.0000
0.0000 0.0000 11.3990
Pm Ho Tm
1 14 1
direct
0.7083 0.2917 0.5000
0.0419 0.9581 0.0000
0.5416 0.4584 0.0000
0.2079 0.2916 0.5000
0.0421 0.4584 0.0000
0.7084 0.7921 0.5000
0.5416 0.9579 0.0000
0.3746 0.1247 0.7510
0.3746 0.1247 0.2490
0.8753 0.6254 0.7510
0.8753 0.6254 0.2490
0.3749 0.6251 0.7495
0.3749 0.6251 0.2505
0.8752 0.1248 0.7515
0.8752 0.1248 0.2485
0.2081 0.7919 0.5000
```

(5)
VASP calculation (PBE) on crystalline Pm7Ho6Tm16 at its relaxed geometry.

Calculated values
- E_form: 194 meV/atom
- Raw total energy: -4.37 eV per atom

```
Pm7Ho6Tm16
1.0
-7.2314 6.8355 4.5912
-9.1916 2.6516 -5.3461
-9.6656 -3.7941 3.5040
Pm Ho Tm
7 6 16
direct
0.0000 0.0000 0.0000
0.5000 0.0000 0.5000
0.0000 0.5000 0.0000
0.0000 0.5000 0.5000
0.5000 0.0000 0.0000
0.0000 0.0000 0.5000
0.5000 0.5000 0.0000
0.2249 0.7751 0.2249
0.7751 0.2249 0.7751
0.7751 0.2249 0.2249
0.2249 0.7751 0.7751
0.7751 0.7751 0.2249
0.2249 0.2249 0.7751
0.8509 0.8509 0.4472
0.8509 0.8509 0.8509
0.8509 0.4472 0.8509
0.4472 0.8509 0.8509
0.1491 0.1491 0.1491
0.1491 0.1491 0.5528
0.1491 0.5528 0.1491
0.5528 0.1491 0.1491
0.6136 0.6136 0.1593
0.6136 0.6136 0.6136
0.6136 0.1593 0.6136
0.1593 0.6136 0.6136
0.3864 0.3864 0.3864
0.3864 0.3864 0.8407
0.3864 0.8407 0.3864
0.8407 0.3864 0.3864
```

(6)
VASP calculation (PBE) on crystalline PmHo2Tm7 at its relaxed geometry.

Calculated values
- E_form: 718 meV/atom
- Raw total energy: -3.80 eV per atom

```
PmHo2Tm7
1.0
-2.8861 -2.6608 3.7826
-3.7639 -5.2405 -6.5582
7.7744 -2.1276 4.4353
Pm Ho Tm
1 2 7
direct
0.0000 0.0000 0.0000
0.5000 0.7021 0.2979
0.5000 0.2979 0.7021
0.0000 0.7914 0.2086
0.0000 0.2086 0.7914
0.5000 0.0624 0.2905
0.5000 0.9376 0.7095
0.5000 0.2905 0.0624
0.5000 0.7095 0.9376
0.5000 0.5000 0.5000
```

(7)
VASP calculation (PBE) on crystalline PmHo8Tm3 at its relaxed geometry.

Calculated values
- E_form: 339 meV/atom
- Raw total energy: -4.23 eV per atom

```
PmHo8Tm3
1.0
-6.8918 3.9139 3.2274
1.4788 -6.0730 -5.8450
2.2356 -4.5284 6.9085
Pm Ho Tm
1 8 3
direct
0.0000 0.0000 0.0000
0.5035 0.2461 0.2574
0.4965 0.7539 0.7426
0.0113 0.7539 0.2574
0.9887 0.2461 0.7426
0.1679 0.2509 0.4187
0.8321 0.2508 0.0829
0.1679 0.7491 0.9171
0.8321 0.7492 0.5813
0.5000 0.7573 0.2573
0.5000 0.2427 0.7427
0.0000 0.5000 0.5000
```

(8)
VASP calculation (PBE) on crystalline PmHo6Tm4 at its relaxed geometry.

Calculated values
- E_form: 124 meV/atom
- Raw total energy: -4.43 eV per atom

```
PmHo6Tm4
1.0
-3.5795 -4.3063 -0.3113
4.4810 -0.3105 3.2910
-13.4920 9.8201 19.2975
Pm Ho Tm
2 12 8
direct
0.8254 0.6508 0.2500
0.1746 0.3492 0.7500
0.5000 0.0000 0.0000
0.5000 0.0000 0.5000
0.1578 0.3156 0.3195
0.8422 0.6844 0.6805
0.8422 0.6844 0.8195
0.1578 0.3156 0.1805
0.8250 0.6501 0.3985
0.1750 0.3499 0.6015
0.1750 0.3499 0.8985
0.8250 0.6501 0.1015
0.4916 0.9833 0.2500
0.5084 0.0167 0.7500
0.8365 0.6730 0.5419
0.4900 0.9799 0.1213
0.1635 0.3270 0.4582
0.5100 0.0201 0.8787
0.8365 0.6730 0.9582
0.1635 0.3270 0.0418
0.5100 0.0201 0.6213
0.4900 0.9799 0.3787
```

(9)
VASP calculation (PBE) on crystalline Pm6Ho2Tm3 at its relaxed geometry.

Calculated values
- E_form: 17 meV/atom
- Raw total energy: -4.63 eV per atom

```
Pm6Ho2Tm3
1.0
3.5814 0.0000 0.2197
1.7840 3.1055 0.2197
-0.1669 -0.0966 32.0207
Pm Ho Tm
6 2 3
direct
0.9098 0.9098 0.2706
0.0902 0.0902 0.7294
0.8176 0.8176 0.5471
0.1824 0.1824 0.4529
0.6366 0.6366 0.0902
0.3634 0.3634 0.9098
0.5461 0.5461 0.3616
0.4539 0.4539 0.6384
0.0000 0.0000 0.0000
0.7268 0.7268 0.8198
0.2732 0.2732 0.1802
```

(10)
VASP calculation (PBE) on crystalline Pm2Ho4Tm7 at its relaxed geometry.

Calculated values
- E_form: 190 meV/atom
- Raw total energy: -4.36 eV per atom

```
Pm2Ho4Tm7
1.0
-0.5794 -4.0307 -4.4049
3.7968 -1.0308 4.5286
-9.7336 -6.0212 6.7900
Pm Ho Tm
2 4 7
direct
0.6667 0.3333 0.0000
0.3333 0.6667 0.0000
0.0000 0.0000 0.6049
0.0000 0.0000 0.3951
0.6667 0.3333 0.5000
0.3333 0.6667 0.5000
0.0000 0.6514 0.7854
0.0000 0.3486 0.2146
0.0000 0.0000 0.0000
0.6514 0.0000 0.7854
0.3486 0.0000 0.2146
0.6514 0.6514 0.2146
0.3486 0.3486 0.7854
```

(11)
VASP calculation (PBE) on crystalline Pm3Ho7Tm2 at its relaxed geometry.

Calculated values
- E_form: 89 meV/atom
- Raw total energy: -4.51 eV per atom

```
Pm3Ho7Tm2
1.0
3.5459 0.0000 0.0000
0.0000 5.7933 0.2642
0.0000 -1.8765 18.5966
Pm Ho Tm
3 7 2
direct
0.5000 0.5000 0.0000
0.0000 0.2250 0.3664
0.0000 0.7750 0.6336
0.5000 0.7432 0.4627
0.5000 0.2568 0.5373
0.0000 0.6920 0.1441
0.0000 0.0000 0.0000
0.0000 0.3080 0.8559
0.5000 0.8051 0.8228
0.5000 0.1949 0.1772
0.5000 0.7135 0.2928
0.5000 0.2865 0.7072
```

(12)
VASP calculation (PBE) on crystalline Pm4Ho3Tm4 at its relaxed geometry.

Calculated values
- E_form: 142 meV/atom
- Raw total energy: -4.46 eV per atom

```
Pm4Ho3Tm4
1.0
3.5284 0.0000 -0.6499
-0.8404 8.1052 -4.5625
0.3484 1.2948 11.7940
Pm Ho Tm
4 3 4
direct
0.7418 0.2418 0.4837
0.2582 0.7582 0.5163
0.5000 0.8144 0.0000
0.5000 0.1856 0.0000
0.8905 0.8905 0.7811
0.1095 0.1095 0.2189
0.0000 0.5000 0.0000
0.6418 0.4654 0.2836
0.3582 0.1818 0.7164
0.3582 0.5346 0.7164
0.6418 0.8182 0.2836
```

(13)
VASP calculation (PBE) on crystalline Pm2HoTm3 at its relaxed geometry.

Calculated values
- E_form: 122 meV/atom
- Raw total energy: -4.46 eV per atom

```
Pm2HoTm3
1.0
-2.7219 -0.6614 2.0691
4.0202 -0.5399 8.0467
-1.6379 11.9174 4.5855
Pm Ho Tm
4 2 6
direct
0.8197 0.4797 0.8808
0.1803 0.5203 0.1192
0.6560 0.1567 0.5314
0.3440 0.8433 0.4686
0.4375 0.4821 0.6429
0.5625 0.5179 0.3571
0.0392 0.1303 0.7913
0.9608 0.8697 0.2087
0.5984 0.8290 0.9742
0.4016 0.1710 0.0258
0.7375 0.8171 0.7079
0.2625 0.1829 0.2921
```

(14)
VASP calculation (PBE) on crystalline Pm6Ho5Tm2 at its relaxed geometry.

Calculated values
- E_form: 103 meV/atom
- Raw total energy: -4.54 eV per atom

```
Pm6Ho5Tm2
1.0
-2.4085 -0.7659 -2.5614
8.4851 -4.2942 -6.6946
-2.8734 -18.5252 8.2410
Pm Ho Tm
12 10 4
direct
0.0000 0.0839 0.3676
0.0000 0.9161 0.6324
0.0000 0.5839 0.1324
0.0000 0.4161 0.8676
0.5000 0.3285 0.1365
0.5000 0.6715 0.8635
0.5000 0.8285 0.3635
0.5000 0.1715 0.6365
0.0000 0.5610 0.4193
0.0000 0.4390 0.5807
0.0000 0.0610 0.0807
0.0000 0.9390 0.9193
0.5000 0.3025 0.4448
0.5000 0.6975 0.5552
0.5000 0.8025 0.0552
0.5000 0.1975 0.9448
0.5000 0.5921 0.2730
0.5000 0.4079 0.7270
0.5000 0.0921 0.2270
0.5000 0.9079 0.7730
0.5000 0.5000 0.0000
0.5000 0.0000 0.5000
0.0000 0.3344 0.2904
0.0000 0.6656 0.7096
0.0000 0.8344 0.2096
0.0000 0.1656 0.7904
```

(15)
VASP calculation (PBE) on crystalline Pm3HoTm at its relaxed geometry.

Calculated values
- E_form: 168 meV/atom
- Raw total energy: -4.49 eV per atom

```
Pm3HoTm
1.0
-1.1262 -2.5664 2.1884
4.3520 -7.5662 -6.6333
15.0539 0.9205 8.8265
Pm Ho Tm
12 4 4
direct
0.7494 0.5000 0.7500
0.2506 0.0000 0.2500
0.2506 0.5000 0.2500
0.7494 0.0000 0.7500
0.2494 0.5560 0.9236
0.2494 0.4440 0.5764
0.7506 0.0560 0.0764
0.7506 0.9440 0.4236
0.2494 0.0560 0.5764
0.2494 0.9440 0.9236
0.7506 0.5560 0.4236
0.7506 0.4440 0.0764
0.7492 0.2500 0.8992
0.7492 0.7500 0.6008
0.2508 0.7500 0.1008
0.2508 0.2500 0.3992
0.7509 0.2500 0.2255
0.7509 0.7500 0.2745
0.2491 0.7500 0.7745
0.2491 0.2500 0.7255
```

(16)
VASP calculation (PBE) on crystalline PmHo5Tm at its relaxed geometry.

Calculated values
- E_form: 108 meV/atom
- Raw total energy: -4.48 eV per atom

```
PmHo5Tm
1.0
6.3729 -0.3613 -1.0750
-0.4738 6.3655 -1.0750
-1.3811 -1.4057 11.5530
Pm Ho Tm
2 10 2
direct
0.0000 0.0000 0.0000
0.0000 0.0000 0.5000
0.3862 0.0300 0.8331
0.4676 0.7624 0.5351
0.0300 0.3862 0.3331
0.8351 0.1649 0.7500
0.2376 0.5324 0.9649
0.7624 0.4676 0.0351
0.1649 0.8351 0.2500
0.9700 0.6138 0.6669
0.5324 0.2376 0.4649
0.6138 0.9700 0.1669
0.4908 0.5092 0.7500
0.5092 0.4908 0.2500
```

(17)
VASP calculation (PBE) on crystalline PmHo3Tm5 at its relaxed geometry.

Calculated values
- E_form: 428 meV/atom
- Raw total energy: -4.11 eV per atom

```
PmHo3Tm5
1.0
8.9387 1.8115 1.3653
4.1893 8.1014 1.3653
5.7518 4.3431 10.5188
Pm Ho Tm
2 6 10
direct
0.8940 0.8940 0.8698
0.1060 0.1060 0.1302
0.6941 0.6941 0.6850
0.8316 0.8316 0.3400
0.0000 0.0000 0.0000
0.0000 0.0000 0.5000
0.3059 0.3059 0.3150
0.1684 0.1684 0.6600
0.9225 0.5100 0.2188
0.3220 0.6780 0.0000
0.6289 0.6289 0.0728
0.4434 0.4434 0.4351
0.5566 0.5566 0.5649
0.3711 0.3711 0.9272
0.5100 0.9225 0.2188
0.6780 0.3220 0.0000
0.0775 0.4900 0.7812
0.4900 0.0775 0.7812
```